The following is a PBE calculation of a geometry-optimized Zr3ReBi structure, from the Alexandria database.

Unit cell a=5.2869 b=5.2869 c=5.2869 alpha=90.00 beta=90.00 gamma=90.00
Positions (direct):
Bi 0.0000 0.0000 0.0000
Re 0.5000 0.5000 0.5000
Zr 0.5000 0.0000 0.0000
Zr 0.0000 0.0000 0.5000
Zr 0.0000 0.5000 0.0000

energy	-6.61	eV per atom
E above lowest polymorph	7.25	eV per formula unit
magnetization	0.426	μB per atom
formation enthalpy at 0 K	1.789	eV per atom

The following is a PBE calculation of a geometry-optimized V2TcBi2 structure, from the Alexandria database.

Unit cell a=3.3890 b=3.3890 c=8.8891 alpha=79.01 beta=79.01 gamma=90.00
Positions (direct):
V 0.2500 0.7500 0.5000
Bi 0.6009 0.6009 0.7982
V 0.7500 0.2500 0.5000
Tc 0.0000 0.0000 0.0000
Bi 0.3991 0.3991 0.2018

energy	-6.55	eV per atom
E above lowest polymorph	0.00	eV per formula unit
magnetization	0.000	μB per atom
formation enthalpy at 0 K	0.726	eV per atom

The following is a PBE calculation of a geometry-optimized La2AlGe6 structure, from the Alexandria database.

Unit cell a=6.1386 b=6.1386 c=10.8735 alpha=97.89 beta=97.89 gamma=92.94
Positions (direct):
Ge 0.4931 0.0661 0.1136
Ge 0.5069 0.9339 0.8864
Ge 0.9339 0.5069 0.8864
Ge 0.5116 0.5116 0.8863
Ge 0.4884 0.4884 0.1137
Ge 0.1470 0.1470 0.5634
La 0.3334 0.8376 0.3361
Ge 0.3616 0.3616 0.4181
Ge 0.0700 0.0700 0.1132
La 0.1624 0.6666 0.6639
Al 0.2002 0.2002 0.8052
Ge 0.8530 0.8530 0.4366
Ge 0.9300 0.9300 0.8868
La 0.6666 0.1624 0.6639
La 0.8376 0.3334 0.3361
Al 0.7998 0.7998 0.1948
Ge 0.6384 0.6384 0.5819
Ge 0.0661 0.4931 0.1136

energy	-5.09	eV per atom
magnetization	0.000	μB per atom
formation enthalpy at 0 K	-0.497	eV per atom

The following is a PBE calculation of a geometry-optimized TbPm4Th structure, from the Alexandria database.

Unit cell a=6.6130 b=6.6130 c=6.6130 alpha=60.00 beta=60.00 gamma=60.00
Positions (direct):
Tb 0.0000 0.0000 0.0000
Pm 0.1258 0.6247 0.6247
Pm 0.6247 0.1258 0.6247
Th 0.2500 0.2500 0.2500
Pm 0.6247 0.6247 0.1258
Pm 0.6247 0.6247 0.6247

energy	-4.85	eV per atom
E above lowest polymorph	1.57	eV per formula unit
magnetization	0.255	μB per atom
formation enthalpy at 0 K	0.324	eV per atom

The following is a PBE calculation of a geometry-optimized OsSe2BrN structure, from the Alexandria database.

Unit cell a=4.7470 b=4.7470 c=5.1801 alpha=90.00 beta=90.00 gamma=90.00
Positions (direct):
Se 0.5000 0.0000 0.0000
N 0.5000 0.5000 0.5000
Os 0.0000 0.0000 0.0000
Se 0.0000 0.5000 0.0000
Br 0.0000 0.0000 0.5000

energy	-3.89	eV per atom
E above lowest polymorph	6.08	eV per formula unit
uncorrected formation energy	8.76	eV/f.u.
magnetization	0.000	μB per atom

The following is a PBE calculation of a geometry-optimized LiBeIn structure, from the Alexandria database.

Unit cell a=10.0748 b=4.7393 c=8.1414 alpha=90.00 beta=90.00 gamma=90.00
Positions (direct):
Li 0.5000 0.5000 0.1747
Be 0.2500 0.2500 0.7500
Li 0.5000 0.0000 0.3253
Be 0.7500 0.7500 0.7500
In 0.6464 0.5000 0.5000
Be 0.2500 0.7500 0.7500
Be 0.2500 0.2500 0.2500
In 0.6464 0.0000 0.0000
In 0.8536 0.5000 0.0000
Be 0.7500 0.7500 0.2500
In 0.1464 0.0000 0.5000
In 0.8536 0.0000 0.5000
In 0.3536 0.5000 0.5000
Be 0.7500 0.2500 0.7500
Li 0.5000 0.5000 0.8253
Li 0.0000 0.5000 0.6747
Li 0.0000 0.0000 0.8253
In 0.3536 0.0000 0.0000
In 0.1464 0.5000 0.0000
Li 0.5000 0.0000 0.6747
Li 0.0000 0.5000 0.3253
Be 0.2500 0.7500 0.2500
Li 0.0000 0.0000 0.1747
Be 0.7500 0.2500 0.2500

energy	-2.76	eV per atom
E above lowest polymorph	0.00	eV per formula unit
magnetization	0.000	μB per atom
formation enthalpy at 0 K	0.031	eV per atom

The following is a PBE calculation of a geometry-optimized Tl2ReTc structure, from the Alexandria database.

Unit cell a=3.0654 b=3.0530 c=8.9469 alpha=80.36 beta=90.00 gamma=90.00
Positions (direct):
Tl 0.5000 0.0394 0.2920
Tc 0.5000 0.8361 0.7040
Tl 0.0000 0.2114 0.9566
Re 0.0000 0.4131 0.5474

energy	-6.48	eV per atom
E above lowest polymorph	0.00	eV per formula unit
magnetization	0.000	μB per atom
formation enthalpy at 0 K	0.411	eV per atom

The following is a PBE calculation of a geometry-optimized Ca3I5Br structure, from the Alexandria database.

Unit cell a=4.6385 b=10.5913 c=16.2571 alpha=109.01 beta=90.00 gamma=90.00
Positions (direct):
Ca 0.0000 0.6573 0.3146
Ca 0.0000 0.0000 0.0000
Ca 0.5000 0.5000 0.0000
I 0.0000 0.3667 0.3335
I 0.5000 0.0674 0.1347
I 0.0000 0.6333 0.6665
I 0.5000 0.7273 0.4545
Br 0.5000 0.5978 0.1956
Ca 0.5000 0.8298 0.6596
I 0.0000 0.6982 0.0000
I 0.0000 0.9668 0.3335
Ca 0.0000 0.3427 0.6854
Br 0.5000 0.4022 0.8044
Ca 0.5000 0.1702 0.3404
I 0.5000 0.2727 0.5455
I 0.0000 0.3018 0.0000
I 0.0000 0.0332 0.6665
I 0.5000 0.9326 0.8653

energy	-3.36	eV per atom
uncorrected formation energy	-14.82	eV/f.u.
magnetization	0.000	μB per atom